Entry 1:
A relaxed LaCeSmN3 crystal. Source: Alexandria, functional PBE.

The structure belongs to space group P2_1/m (No. 11); the cell edges are 6.2009, 3.5933 and 9.3768 Å and the angles 90.00°, 101.42° and 90.00°. The inequivalent atoms are La at (0.1628, 0.2500, 0.1990), Ce at (0.3518, 0.2500, 0.8557), Sm at (0.2668, 0.7500, 0.5447), N at (0.0434, 0.2500, 0.6689), N at (0.2550, 0.7500, 0.9925) and N at (0.4605, 0.7500, 0.3426).

---

Entry 2:
A relaxed LaCe2SnN crystal. Source: Alexandria, functional PBE.

The structure belongs to space group P4/mmm (No. 123); the cell edges are 4.9098, 4.9098 and 5.1210 Å and the angles 90.00°, 90.00° and 90.00°. The inequivalent atoms are La at (0.0000, 0.0000, 0.0000), Ce at (0.0000, 0.5000, 0.5000), Sn at (0.5000, 0.5000, 0.0000) and N at (0.0000, 0.0000, 0.5000).

---

Entry 3:
A relaxed La2Ce4Sn3N2 crystal. Source: Alexandria, functional PBE.

The structure belongs to space group I4/mmm (No. 139); the cell edges are 4.7871, 4.7871 and 26.4393 Å and the angles 90.00°, 90.00° and 90.00°. The inequivalent atoms are La at (0.0000, 0.0000, 0.1948), Ce at (0.0000, 0.5000, 0.0835), Sn at (0.0000, 0.0000, 0.3256), Sn at (0.0000, 0.0000, 0.5000) and N at (0.0000, 0.0000, 0.1020).

---

Entry 4:
A relaxed La2CeSnN crystal. Source: Alexandria, functional PBE.

The structure belongs to space group P4/mmm (No. 123); the cell edges are 5.1176, 5.1176 and 4.9073 Å and the angles 90.00°, 90.00° and 90.00°. The inequivalent atoms are La at (0.0000, 0.5000, 0.0000), Ce at (0.0000, 0.0000, 0.5000), Sn at (0.5000, 0.5000, 0.5000) and N at (0.0000, 0.0000, 0.0000).

---

Entry 5:
A relaxed La12CeSn4N3 crystal. Source: Alexandria, functional PBE.

The structure belongs to space group Im-3m (No. 229); the cell edges are 10.3715, 10.3715 and 10.3715 Å and the angles 90.00°, 90.00° and 90.00°. The inequivalent atoms are La at (0.0000, 0.0000, 0.2676), La at (0.0000, 0.2500, 0.5000), Ce at (0.0000, 0.0000, 0.0000), Sn at (0.2500, 0.2500, 0.2500) and N at (0.0000, 0.0000, 0.5000).

---

Entry 6:
A relaxed La3CeSn2N crystal. Source: Alexandria, functional PBE.

The structure belongs to space group Immm (No. 71); the cell edges are 4.8081, 4.9879 and 17.1265 Å and the angles 90.00°, 90.00° and 90.00°. The inequivalent atoms are La at (0.0000, 0.0000, 0.0000), La at (0.0000, 0.5000, 0.1668), Ce at (0.0000, 0.0000, 0.5000), Sn at (0.0000, 0.5000, 0.3612) and N at (0.0000, 0.5000, 0.0000).

---

Entry 7:
A relaxed LaCe2SnN2 crystal. Source: Alexandria, functional PBE.

The structure belongs to space group P4/mmm (No. 123); the cell edges are 4.5843, 4.5843 and 6.8125 Å and the angles 90.00°, 90.00° and 90.00°. The inequivalent atoms are La at (0.0000, 0.0000, 0.0000), Ce at (0.5000, 0.5000, 0.2288), Sn at (0.0000, 0.0000, 0.5000) and N at (0.0000, 0.5000, 0.0000).

---

Entry 8:
A relaxed SrLa2Ce3N6 crystal. Source: Alexandria, functional PBE.

The structure belongs to space group C2/m (No. 12); the cell edges are 15.9199, 3.6469 and 7.3256 Å and the angles 90.00°, 103.57° and 90.00°. The inequivalent atoms are Sr at (0.0000, 0.0000, 0.0000), La at (0.1672, 0.5000, 0.3336), Ce at (0.0000, 0.0000, 0.5000), Ce at (0.1666, 0.5000, 0.8338), N at (0.0063, 0.5000, 0.7238), N at (0.1630, 0.0000, 0.5961) and N at (0.1766, 0.0000, 0.0731).

---

What did we get for Fermi-level density of states? Answer: 6.206, 8.840, 40.797, 7.659, 48.726, 18.326, 11.836, 15.152 states/eV per cell, in the order shown.
What did we get for uncorrected formation energy? Answer: -1.300, -0.966, -0.934, -0.978, -0.719, -0.911, -0.657, -1.340 eV per atom, in the order shown.